[1]
First-principles (PBE) data for a relaxed Cu2OsSe crystal, as listed in Alexandria. Values from VASP.

Computed properties:
* raw formation energy: 0.4890 eV/atom
* total DFT energy (no corrections): -5.2376 eV/atom
* symmetry: Imm2, No. 44

Cell and atoms, written as Quantum ESPRESSO input:
```
&SYSTEM
  ibrav = 0, nat = 4, ntyp = 3
/
ATOMIC_SPECIES
Cu 63.55 Cu.upf
Os 190.23 Os.upf
Se 78.96 Se.upf
CELL_PARAMETERS angstrom
-5.185 0.491 -0.554
-2.857 -4.175 -1.356
3.306 2.092 3.482
ATOMIC_POSITIONS angstrom
Cu -8.006 -3.668 -1.902
Cu -1.889 -2.010 0.561
Os -4.148 -1.900 -0.985
Se -2.755 0.460 1.032
```

***

[2]
First-principles (PBE) data for a relaxed AsRu2Pb crystal, as listed in Alexandria. Values from VASP.

Computed properties:
* E above lowest polymorph: 182 kJ/mol of formula units
* total DFT energy (no corrections): -6.0613 eV/atom
* symmetry: F-43m, No. 216
* energy of formation: 2.66 eV per formula unit

Cell and atoms, written as Quantum ESPRESSO input:
```
&SYSTEM
  ibrav = 0, nat = 4, ntyp = 3
/
ATOMIC_SPECIES
Pb 207.20 Pb.upf
Ru 101.07 Ru.upf
As 74.92 As.upf
CELL_PARAMETERS angstrom
4.631 0.000 0.000
2.315 4.010 0.000
2.315 1.337 3.781
ATOMIC_POSITIONS angstrom
Pb 6.946 4.010 2.836
Ru 0.000 0.000 0.000
Ru 2.315 1.337 0.945
As 4.631 2.674 1.891
```

***

[3]
First-principles (PBE) data for a relaxed PmAl2Ga crystal, as listed in Alexandria. Values from VASP.

Computed properties:
* E above lowest polymorph: 5 kJ/mol of formula units
* total DFT energy (no corrections): -4.2331 eV/atom
* symmetry: Amm2, No. 38
* energy of formation: -1.67 eV per formula unit

Cell and atoms, written as Quantum ESPRESSO input:
```
&SYSTEM
  ibrav = 0, nat = 8, ntyp = 3
/
ATOMIC_SPECIES
Pm 145.00 Pm.upf
Al 26.98 Al.upf
Ga 69.72 Ga.upf
CELL_PARAMETERS angstrom
-0.204 4.183 -1.207
-5.398 -2.331 0.700
0.033 1.917 6.635
ATOMIC_POSITIONS angstrom
Pm -2.777 2.933 2.761
Pm -1.062 2.050 -0.587
Al -0.516 1.295 4.575
Al -0.528 0.574 2.079
Al -4.230 1.912 -0.531
Al -5.037 0.738 3.406
Ga -3.076 1.419 5.434
Ga -3.096 0.227 1.310
```